# 1
A crystal of Mg2TcRu relaxed with PBEsol, computed with SCAN. Values from VASP.

Cell and atoms, written as Quantum ESPRESSO input:
```
&SYSTEM
  ibrav = 0, nat = 4, ntyp = 3
/
ATOMIC_SPECIES
Mg 24.30 Mg.upf
Tc 98.00 Tc.upf
Ru 101.07 Ru.upf
ATOMIC_POSITIONS angstrom
Mg 0.0000 0.0000 0.0000
Mg 1.4816 1.4816 2.2993
Tc 1.4816 1.4816 5.5121
Ru 0.0000 0.0000 4.0464
CELL_PARAMETERS angstrom
2.9633 0.0000 0.0000
0.0000 2.9633 0.0000
0.0000 0.0000 7.3374
```

ΔE_f = -0.054 eV/atom
DOS(E_F) = 2.22 states/eV per cell
space group = P4mm
VASP energy = -20.01 eV/atom


# 2
A crystal of Mg2TeRu relaxed with PBEsol, computed with SCAN. Values from VASP.

Cell and atoms, written as Quantum ESPRESSO input:
```
&SYSTEM
  ibrav = 0, nat = 4, ntyp = 3
/
ATOMIC_SPECIES
Mg 24.30 Mg.upf
Te 127.60 Te.upf
Ru 101.07 Ru.upf
ATOMIC_POSITIONS angstrom
Mg 0.0000 0.0000 0.0000
Mg -0.0030 2.1118 3.5434
Te 1.7194 0.0000 2.4114
Ru 1.7201 2.1118 0.9499
CELL_PARAMETERS angstrom
3.4418 0.0000 0.0000
0.0000 4.2236 0.0000
-1.7367 0.0000 5.3446
```

DOS(E_F) = 2.71 states/eV per cell
space group = Pm
formation energy without anion corrections = -97 meV per atom
VASP energy = -20.60 eV/atom


# 3
A crystal of MgTeRu relaxed with PBEsol, computed with SCAN. Values from VASP.

Cell and atoms, written as Quantum ESPRESSO input:
```
&SYSTEM
  ibrav = 0, nat = 3, ntyp = 3
/
ATOMIC_SPECIES
Mg 24.30 Mg.upf
Te 127.60 Te.upf
Ru 101.07 Ru.upf
ATOMIC_POSITIONS angstrom
Mg 0.0000 0.0000 0.0000
Te 2.2118 1.2770 1.6681
Ru 0.0000 2.5540 1.6681
CELL_PARAMETERS angstrom
4.4236 0.0000 0.0000
-2.2118 3.8310 0.0000
0.0000 0.0000 3.3362
```

DOS(E_F) = 2.79 states/eV per cell
space group = P-6m2
formation energy without anion corrections = -32 meV per atom
VASP energy = -25.72 eV/atom


# 4
A crystal of Mg2TeRu relaxed with PBEsol, computed with SCAN. Values from VASP.

Cell and atoms, written as Quantum ESPRESSO input:
```
&SYSTEM
  ibrav = 0, nat = 4, ntyp = 3
/
ATOMIC_SPECIES
Mg 24.30 Mg.upf
Te 127.60 Te.upf
Ru 101.07 Ru.upf
ATOMIC_POSITIONS angstrom
Mg 1.5357 1.5380 0.0000
Mg 1.5357 -1.5380 0.0000
Te 0.0000 0.0000 1.8997
Ru 3.0715 0.0000 1.8997
CELL_PARAMETERS angstrom
3.0715 -3.0760 0.0000
3.0715 3.0760 0.0000
0.0000 0.0000 3.7993
```

DOS(E_F) = 1.90 states/eV per cell
space group = Cmmm
formation energy without anion corrections = -73 meV per atom
VASP energy = -20.58 eV/atom


# 5
A crystal of MgTlRu2 relaxed with PBEsol, computed with SCAN. Values from VASP.

Cell and atoms, written as Quantum ESPRESSO input:
```
&SYSTEM
  ibrav = 0, nat = 4, ntyp = 3
/
ATOMIC_SPECIES
Mg 24.30 Mg.upf
Tl 204.38 Tl.upf
Ru 101.07 Ru.upf
ATOMIC_POSITIONS angstrom
Mg 0.0000 0.0000 0.0000
Tl 7.2256 0.0000 1.6734
Ru 0.9494 0.0000 3.8098
Ru 4.5075 0.0000 2.2946
CELL_PARAMETERS angstrom
5.0614 -1.4623 0.0000
5.0614 1.4623 0.0000
-1.7751 0.0000 4.4419
```

ΔE_f = 0.310 eV/atom
DOS(E_F) = 4.33 states/eV per cell
space group = Cm
VASP energy = -36.44 eV/atom


# 6
A crystal of Mg4TlRu relaxed with PBEsol, computed with SCAN. Values from VASP.

Cell and atoms, written as Quantum ESPRESSO input:
```
&SYSTEM
  ibrav = 0, nat = 6, ntyp = 3
/
ATOMIC_SPECIES
Mg 24.30 Mg.upf
Tl 204.38 Tl.upf
Ru 101.07 Ru.upf
ATOMIC_POSITIONS angstrom
Mg 2.9012 2.9012 2.9012
Mg 4.8186 4.8186 2.9012
Mg 4.8186 2.9012 4.8186
Mg 2.9012 4.8186 4.8186
Tl 0.0000 0.0000 0.0000
Ru 5.7899 5.7899 5.7899
CELL_PARAMETERS angstrom
0.0000 3.8599 3.8599
3.8599 0.0000 3.8599
3.8599 3.8599 0.0000
```

ΔE_f = 0.374 eV/atom
DOS(E_F) = 4.89 states/eV per cell
space group = F-43m
VASP energy = -20.81 eV/atom


# 7
A crystal of MgURu2 relaxed with PBEsol, computed with SCAN. Values from VASP.

Cell and atoms, written as Quantum ESPRESSO input:
```
&SYSTEM
  ibrav = 0, nat = 4, ntyp = 3
/
ATOMIC_SPECIES
Mg 24.30 Mg.upf
U 238.03 U.upf
Ru 101.07 Ru.upf
ATOMIC_POSITIONS angstrom
Mg 0.0000 0.0000 0.0000
U 3.2173 3.2173 3.2173
Ru 1.6086 1.6086 1.6086
Ru 4.8259 4.8259 4.8259
CELL_PARAMETERS angstrom
0.0000 3.2173 3.2173
3.2173 0.0000 3.2173
3.2173 3.2173 0.0000
```

ΔE_f = -0.185 eV/atom
DOS(E_F) = 5.78 states/eV per cell
space group = Fm-3m
VASP energy = -44.72 eV/atom


# 8
A crystal of Mg2RuW relaxed with PBEsol, computed with SCAN. Values from VASP.

Cell and atoms, written as Quantum ESPRESSO input:
```
&SYSTEM
  ibrav = 0, nat = 4, ntyp = 3
/
ATOMIC_SPECIES
Mg 24.30 Mg.upf
Ru 101.07 Ru.upf
W 183.84 W.upf
ATOMIC_POSITIONS angstrom
Mg 0.0000 0.0000 0.0000
Mg 0.0305 2.1596 3.9876
Ru 1.8331 2.1596 1.4552
W 1.1512 0.0000 2.5032
CELL_PARAMETERS angstrom
2.8120 0.0000 0.0000
0.0000 4.3192 0.0000
-1.0765 0.0000 5.3930
```

ΔE_f = 0.198 eV/atom
offset from the most stable computed form = 0.0 meV/atom
DOS(E_F) = 3.09 states/eV per cell
space group = Pm
VASP energy = -28.42 eV/atom